Record 1
TaNbMo14 | GGA-PBE | optimized geometry

extended XYZ file:
```
16
Lattice="3.1775 -4.4981 0.0000 3.1775 4.4981 0.0000 0.0000 0.0000 9.0043" Properties=species:S:1:pos:R:3 pbc="T T T"
Ta 0.0000 0.0000 0.0000
Nb 3.1775 0.0000 0.0000
Mo 0.0000 0.0000 4.5021
Mo 1.5887 2.2490 0.0000
Mo 1.5887 2.2490 4.5021
Mo 3.1775 2.2542 2.2661
Mo 3.1775 2.2542 6.7381
Mo 1.5892 0.0000 2.2933
Mo 1.5892 0.0000 6.7110
Mo 1.5887 -2.2490 0.0000
Mo 1.5887 -2.2490 4.5021
Mo 3.1775 0.0000 4.5021
Mo 4.7658 0.0000 2.2933
Mo 4.7658 0.0000 6.7110
Mo 3.1775 -2.2542 2.2661
Mo 3.1775 -2.2542 6.7381
```

Computed properties:
- calculated volume (Å³ per atom) = 16.1

Record 2
TaNbMo | GGA-PBE | optimized geometry

extended XYZ file:
```
6
Lattice="4.8230 -2.6364 0.0000 4.8230 2.6364 0.0000 -2.3487 0.0000 4.1960" Properties=species:S:1:pos:R:3 pbc="T T T"
Ta 1.2448 0.0000 0.7098
Ta 6.0526 0.0000 3.4862
Nb 3.6487 1.3244 2.0980
Nb 3.6487 -1.3244 2.0980
Mo 1.2830 0.0000 3.4987
Mo 6.0144 0.0000 0.6973
```

Computed properties:
- ΔE to the lowest computed polymorph (meV/atom) = 340
- calculated volume (Å³ per atom) = 17.8

Record 3
Ta5Nb2Mo2 | GGA-PBE | optimized geometry

extended XYZ file:
```
18
Lattice="6.5026 -3.6277 0.0000 6.5026 3.6277 0.0000 0.0000 0.0000 7.1315" Properties=species:S:1:pos:R:3 pbc="T T T"
Ta 0.0000 0.0000 0.0000
Ta 4.7701 2.0682 5.1278
Ta 4.7701 1.5594 1.5621
Ta 8.2352 2.0682 5.1278
Ta 8.2352 1.5594 1.5621
Ta 6.5026 0.0000 3.5658
Ta 4.7701 -1.5594 5.5694
Ta 4.7701 -2.0682 2.0037
Ta 8.2352 -1.5594 5.5694
Ta 8.2352 -2.0682 2.0037
Nb 3.2239 0.0000 3.5658
Nb 3.2788 0.0000 0.0000
Nb 9.7265 0.0000 0.0000
Nb 9.7814 0.0000 3.5658
Mo 6.5026 2.8088 2.7831
Mo 6.5026 0.8189 6.3489
Mo 6.5026 -0.8189 0.7826
Mo 6.5026 -2.8088 4.3484
```

Computed properties:
- calculated volume (Å³ per atom) = 18.7

Record 4
Ta5Nb5Mo2 | GGA-PBE | optimized geometry

extended XYZ file:
```
12
Lattice="6.9367 -2.3293 0.0000 6.9367 2.3293 0.0000 -4.5261 0.0000 6.6022" Properties=species:S:1:pos:R:3 pbc="T T T"
Ta 0.0000 0.0000 0.0000
Ta -2.1996 0.0000 4.9159
Ta 2.3137 0.0000 1.6810
Ta 7.0335 0.0000 4.9212
Ta 11.5468 0.0000 1.6863
Nb 4.6646 0.0000 0.0181
Nb 2.3617 0.0000 4.8890
Nb 4.6736 0.0000 3.3011
Nb 6.9855 0.0000 1.7132
Nb 4.6826 0.0000 6.5840
Mo 0.0516 0.0000 3.2983
Mo 9.2956 0.0000 3.3038
```

Computed properties:
- calculated volume (Å³ per atom) = 17.8

Record 5
Ta3Nb2Mo2 | GGA-PBE | optimized geometry

extended XYZ file:
```
7
Lattice="4.0223 -2.3160 0.0000 4.0223 2.3160 0.0000 -2.6802 0.0000 6.5627" Properties=species:S:1:pos:R:3 pbc="T T T"
Ta 0.0000 0.0000 0.0000
Ta -0.0006 0.0000 2.8690
Ta 5.3652 0.0000 3.6937
Nb 2.6795 0.0000 1.8085
Nb 2.6850 0.0000 4.7542
Mo 0.0016 0.0000 5.6103
Mo 5.3630 0.0000 0.9524
```

Computed properties:
- ΔE to the lowest computed polymorph (meV/atom) = 0
- calculated volume (Å³ per atom) = 17.5

Record 6
TaNb4Mo3 | GGA-PBE | optimized geometry

extended XYZ file:
```
8
Lattice="3.2439 0.0000 0.0000 0.0000 3.2439 0.0000 0.0000 0.0000 13.0828" Properties=species:S:1:pos:R:3 pbc="T T T"
Ta 0.0000 0.0000 0.0000
Nb 1.6220 1.6220 1.7277
Nb 1.6220 1.6220 4.9364
Nb 1.6220 1.6220 8.1465
Nb 1.6220 1.6220 11.3551
Mo 0.0000 0.0000 3.2993
Mo 0.0000 0.0000 6.5414
Mo 0.0000 0.0000 9.7835
```

Computed properties:
- calculated volume (Å³ per atom) = 17.2

Record 7
Ta2Nb2Mo | GGA-PBE | optimized geometry

extended XYZ file:
```
10
Lattice="5.3659 0.0000 0.0000 0.0000 7.7229 0.0000 0.0000 0.0000 4.5642" Properties=species:S:1:pos:R:3 pbc="T T T"
Ta 1.3156 0.8829 0.0000
Ta 1.3674 4.7444 0.0000
Ta 3.9985 2.9785 0.0000
Ta 4.0504 6.8400 0.0000
Nb 0.3200 6.4271 2.2821
Nb 2.3630 2.5657 2.2821
Nb 3.0030 5.1572 2.2821
Nb 5.0459 1.2958 2.2821
Mo 0.0000 3.8615 2.2821
Mo 2.6830 0.0000 2.2821
```

Computed properties:
- ΔE to the lowest computed polymorph (meV/atom) = 181
- calculated volume (Å³ per atom) = 18.9

Record 8
Ta2NbMo5 | GGA-PBE | optimized geometry

extended XYZ file:
```
8
Lattice="-2.2725 2.2725 6.4315 2.2725 -2.2725 6.4315 2.2725 2.2725 -6.4315" Properties=species:S:1:pos:R:3 pbc="T T T"
Ta 0.0000 0.0000 3.2126
Ta 0.0000 0.0000 9.6505
Nb 0.0000 0.0000 0.0000
Mo 2.2725 0.0000 1.5893
Mo 2.2725 0.0000 4.8423
Mo 0.0000 0.0000 6.4315
Mo 0.0000 2.2725 1.5893
Mo 0.0000 2.2725 4.8423
```

Computed properties:
- calculated volume (Å³ per atom) = 16.6

Record 9
TaNb2Mo2 | GGA-PBE | optimized geometry

extended XYZ file:
```
10
Lattice="3.2394 0.0000 0.0000 0.0000 4.6031 0.0000 -1.6536 0.0000 11.4697" Properties=species:S:1:pos:R:3 pbc="T T T"
Ta -0.0089 1.1508 3.3771
Ta 1.5946 3.4524 8.0926
Nb -0.0029 3.4524 1.1385
Nb -0.0167 3.4524 5.6689
Nb 1.6025 1.1508 5.8008
Nb 1.5887 1.1508 10.3312
Mo -0.0237 1.1508 8.0515
Mo -0.0299 3.4524 10.3389
Mo 1.6156 1.1508 1.1308
Mo 1.6095 3.4524 3.4182
```

Computed properties:
- ΔE to the lowest computed polymorph (meV/atom) = 0
- calculated volume (Å³ per atom) = 17.1

Record 10
Ta3NbMo | GGA-PBE | optimized geometry

extended XYZ file:
```
5
Lattice="4.7879 0.0000 0.0000 0.0000 4.7879 0.0000 0.0000 0.0000 4.7879" Properties=species:S:1:pos:R:3 pbc="T T T"
Ta 0.0000 0.0000 2.3940
Ta 0.0000 2.3940 0.0000
Ta 2.3940 0.0000 0.0000
Nb 2.3940 2.3940 2.3940
Mo 0.0000 0.0000 0.0000
```

Computed properties:
- ΔE to the lowest computed polymorph (meV/atom) = 1510
- calculated volume (Å³ per atom) = 22.0

Record 11
Ta2Nb3Mo3 | GGA-PBE | optimized geometry

extended XYZ file:
```
8
Lattice="-1.6249 2.3297 9.1002 1.6249 -2.3297 9.1002 1.6249 2.3297 -9.1002" Properties=species:S:1:pos:R:3 pbc="T T T"
Ta 0.0000 0.0000 4.4767
Ta 0.0000 0.0000 13.7236
Nb 0.0000 0.0000 0.0000
Nb 1.6249 0.0000 6.8777
Nb 0.0000 2.3297 2.2225
Mo 1.6249 0.0000 2.2710
Mo 0.0000 0.0000 9.1002
Mo 0.0000 2.3297 6.8291
```

Computed properties:
- calculated volume (Å³ per atom) = 17.2

Record 12
Ta5Nb2Mo | GGA-PBE | optimized geometry

extended XYZ file:
```
16
Lattice="5.6110 0.0000 0.0000 0.0000 10.9635 0.0000 0.0000 0.0000 4.6853" Properties=species:S:1:pos:R:3 pbc="T T T"
Ta 0.0000 0.0000 0.0000
Ta 0.8134 2.7817 0.0000
Ta 0.8806 6.7151 2.3427
Ta 1.9249 1.2333 2.3427
Ta 1.9921 8.2635 0.0000
Ta 2.8055 5.4818 0.0000
Ta 3.6189 2.7001 0.0000
Ta 3.6861 9.7302 2.3427
Ta 4.7304 4.2485 2.3427
Ta 4.7976 8.1818 0.0000
Nb 0.8718 9.5505 2.3427
Nb 1.9337 4.0687 2.3427
Nb 3.6773 6.8948 2.3427
Nb 4.7392 1.4130 2.3427
Mo 0.0000 5.4818 0.0000
Mo 2.8055 0.0000 0.0000
```

Computed properties:
- calculated volume (Å³ per atom) = 18.0

no.,calculated formation energy (eV/atom),M_tot (μB per cell)
1,-0.069,0.00
2,0.204,0.00
3,0.388,0.00
4,-0.061,0.00
5,-0.097,0.00
6,-0.113,0.00
7,0.418,0.00
8,-0.161,0.00
9,-0.140,0.00
10,1.442,0.00
11,-0.120,0.00
12,-0.006,0.00